No. 1
Here is a relaxed LiGa2B2Ir5 crystal from Alexandria. Energies are from GGA-PBE.

Geometry as POSCAR:
```
LiGa2B2Ir5
1.0
2.9133 0.0000 0.0000
0.0000 9.2867 0.0000
0.0000 0.0000 9.2867
Ir Li B Ga
10 2 4 4
Direct
0.5000 0.0000 0.5000
0.5000 0.2048 0.0809
0.5000 0.7952 0.9191
0.5000 0.9191 0.2048
0.5000 0.2952 0.5809
0.5000 0.5000 0.0000
0.5000 0.7048 0.4191
0.5000 0.4191 0.2952
0.5000 0.0809 0.7952
0.5000 0.5809 0.7048
0.0000 0.5000 0.5000
0.0000 0.0000 0.0000
0.0000 0.3675 0.1325
0.0000 0.6325 0.8675
0.0000 0.1325 0.6325
0.0000 0.8675 0.3675
0.0000 0.3237 0.8237
0.0000 0.1763 0.3237
0.0000 0.6763 0.1763
0.0000 0.8237 0.6763
```

Properties
**SG**: P4/mbm, No. 127
**N(E_F)**: 0.20 states/eV/atom

No. 2
Here is a relaxed Li2GaB2Ir5 crystal from Alexandria. Energies are from GGA-PBE.

Geometry as POSCAR:
```
Li2GaB2Ir5
1.0
-0.8546 -2.2336 1.6261
7.5910 -4.8769 -2.7095
4.8349 3.4677 7.3039
Ir Ga Li B
10 2 4 4
Direct
0.5000 0.0726 0.7857
0.5000 0.2857 0.5726
0.5000 0.9274 0.2143
0.5000 0.2143 0.0726
0.5000 0.5726 0.7143
0.5000 0.7857 0.9274
0.5000 0.0000 0.5000
0.5000 0.5000 0.0000
0.5000 0.4274 0.2857
0.5000 0.7143 0.4274
0.0000 0.5000 0.5000
0.0000 0.0000 0.0000
0.0000 0.1747 0.3253
0.0000 0.3253 0.8253
0.0000 0.8253 0.6747
0.0000 0.6747 0.1747
0.0000 0.6265 0.8735
0.0000 0.1265 0.6265
0.0000 0.8735 0.3735
0.0000 0.3735 0.1265
```

Properties
**SG**: P4/mbm, No. 127
**N(E_F)**: 0.65 states/eV/atom

No. 3
Here is a relaxed MgGa2B2Ir5 crystal from Alexandria. Energies are from GGA-PBE.

Geometry as POSCAR:
```
MgGa2B2Ir5
1.0
-1.3349 -1.5802 -2.0880
6.8110 -6.5900 0.6330
-5.0219 -4.5511 6.6549
Mg Ga Ir B
2 4 10 4
Direct
0.0000 0.5000 0.5000
0.0000 0.0000 0.0000
0.0000 0.1780 0.3220
0.0000 0.6780 0.1780
0.0000 0.3220 0.8220
0.0000 0.8220 0.6780
0.5000 0.7880 0.9179
0.5000 0.0821 0.7880
0.5000 0.2120 0.0821
0.5000 0.9179 0.2120
0.5000 0.5821 0.7120
0.5000 0.0000 0.5000
0.5000 0.7120 0.4179
0.5000 0.4179 0.2880
0.5000 0.2880 0.5821
0.5000 0.5000 0.0000
0.0000 0.6271 0.8729
0.0000 0.3729 0.1271
0.0000 0.8729 0.3729
0.0000 0.1271 0.6271
```

Properties
**SG**: P4/mbm, No. 127
**N(E_F)**: 0.21 states/eV/atom

No. 4
Here is a relaxed Mg2GaB2Ir5 crystal from Alexandria. Energies are from GGA-PBE.

Geometry as POSCAR:
```
Mg2GaB2Ir5
1.0
-6.7871 -3.2562 5.8015
-4.8248 -3.2971 -7.4950
1.4163 -2.5656 0.2169
Ir B Mg Ga
10 4 4 2
Direct
0.0694 0.2159 0.5000
0.7841 0.0694 0.5000
0.0000 0.5000 0.5000
0.5000 0.0000 0.5000
0.4306 0.7159 0.5000
0.9306 0.7841 0.5000
0.2841 0.4306 0.5000
0.2159 0.9306 0.5000
0.5694 0.2841 0.5000
0.7159 0.5694 0.5000
0.3736 0.8736 0.0000
0.6264 0.1264 0.0000
0.1264 0.3736 0.0000
0.8736 0.6264 0.0000
0.8230 0.3230 0.0000
0.1770 0.6770 0.0000
0.3230 0.1770 0.0000
0.6770 0.8230 0.0000
0.5000 0.5000 0.0000
0.0000 0.0000 0.0000
```

Properties
**SG**: P4/mbm, No. 127
**N(E_F)**: 0.30 states/eV/atom

No. 5
Here is a relaxed Mn2GaB2Ir5 crystal from Alexandria. Energies are from GGA-PBE.

Geometry as POSCAR:
```
Mn2GaB2Ir5
1.0
2.9285 0.0000 0.0000
0.0000 9.4230 0.0000
0.0000 0.0000 9.4230
B Mn Ir Ga
4 4 10 2
Direct
0.0000 0.8735 0.3735
0.0000 0.6265 0.8735
0.0000 0.1265 0.6265
0.0000 0.3735 0.1265
0.0000 0.8230 0.6770
0.0000 0.3230 0.8230
0.0000 0.1770 0.3230
0.0000 0.6770 0.1770
0.5000 0.7138 0.4285
0.5000 0.2138 0.0715
0.5000 0.7862 0.9285
0.5000 0.5000 0.0000
0.5000 0.0715 0.7862
0.5000 0.5715 0.7138
0.5000 0.0000 0.5000
0.5000 0.4285 0.2862
0.5000 0.2862 0.5715
0.5000 0.9285 0.2138
0.0000 0.5000 0.5000
0.0000 0.0000 0.0000
```

Properties
**SG**: P4/mbm, No. 127
**N(E_F)**: 0.47 states/eV/atom

No. 6
Here is a relaxed GaBMoIr2 crystal from Alexandria. Energies are from GGA-PBE.

Geometry as POSCAR:
```
GaBMoIr2
1.0
-2.2593 0.7881 3.7816
-3.3970 -2.8928 -1.4266
2.0953 -3.4304 1.9667
Ir Ga B Mo
2 1 1 1
Direct
0.5000 0.0000 0.0000
0.0000 0.0000 0.5000
0.0000 0.0000 0.0000
0.5000 0.5000 0.5000
0.0000 0.5000 0.0000
```

Properties
**SG**: P4/mmm, No. 123
**N(E_F)**: 1.07 states/eV/atom

No. 7
Here is a relaxed Na2GaB2Ir5 crystal from Alexandria. Energies are from GGA-PBE.

Geometry as POSCAR:
```
Na2GaB2Ir5
1.0
-1.6677 -1.8029 -1.5386
-3.2672 -3.9798 8.2046
-7.2170 6.4558 0.2576
B Ir Na Ga
4 10 4 2
Direct
0.0000 0.3752 0.1248
0.0000 0.6248 0.8752
0.0000 0.1248 0.6248
0.0000 0.8752 0.3752
0.5000 0.5000 0.0000
0.5000 0.2820 0.5686
0.5000 0.0686 0.7820
0.5000 0.7820 0.9314
0.5000 0.5686 0.7180
0.5000 0.4314 0.2820
0.5000 0.9314 0.2180
0.5000 0.2180 0.0686
0.5000 0.7180 0.4314
0.5000 0.0000 0.5000
0.0000 0.8231 0.6769
0.0000 0.3231 0.8231
0.0000 0.6769 0.1769
0.0000 0.1769 0.3231
0.0000 0.0000 0.0000
0.0000 0.5000 0.5000
```

Properties
**SG**: P4/mbm, No. 127
**N(E_F)**: 0.75 states/eV/atom

| no. | total magnetization (μB/cell) | energy relative to the elements (eV per atom) |
| --- | --- | --- |
| 1 | 0.00 | -0.216 |
| 2 | 0.00 | -0.350 |
| 3 | 0.00 | -0.210 |
| 4 | 0.00 | -0.524 |
| 5 | 17.14 | -0.310 |
| 6 | 1.50 | 2.209 |
| 7 | 0.00 | -0.133 |